Record 1
VASP calculation (GGA-PBE) on a relaxed U2FeSi4Os3 crystal.

## Properties
magnetic moment = 2.3 μB/cell
space-group type = P-4m2, No. 115
formation energy (no corrections) = -0.4141 eV/atom

Cell lengths 4.0857, 4.0857, 9.7472 Å; angles 90.00, 90.00, 90.00 degrees
Closest atoms and distances in Å follow each position.
Fractional positions:
Si 0.5000 0.5000 0.0000  4 Os 2.43
Fe 0.5000 0.5000 0.5000  4 Si 2.36
U 0.5000 0.0000 0.2567  6 Os 3.12-3.13, 8 Si 3.12-3.23, 2 Fe 3.13
Si 0.5000 0.0000 0.6220  2 Fe 2.36, 3 Os 2.36
Si 0.0000 0.0000 0.0000  4 Os 2.43
Os 0.0000 0.0000 0.5000  4 Si 2.36
Os 0.5000 0.0000 0.8645  5 Si 2.36-2.43
U 0.0000 0.5000 0.7433  6 Os 3.12-3.13, 8 Si 3.12-3.23, 2 Fe 3.13
Si 0.0000 0.5000 0.3780  3 Os 2.36, 2 Fe 2.36
Os 0.0000 0.5000 0.1355  5 Si 2.36-2.43

Record 2
VASP calculation (GGA-PBE) on a relaxed YFeSi3Os crystal.

## Properties
magnetic moment = 0.0 μB/cell
space-group type = Cmcm, No. 63
formation energy (no corrections) = -0.3216 eV/atom

Cell lengths 5.3652, 7.4448, 6.5284 Å; angles 124.76, 90.00, 90.00 degrees
Closest atoms and distances in Å follow each position.
Fractional positions:
Os 0.2500 0.4442 0.8884  5 Si 2.22-2.43
Os 0.7500 0.5558 0.1116  5 Si 2.22-2.43
Fe 0.2500 0.0441 0.0882  5 Si 2.07-2.28
Si 0.2500 0.2372 0.4743  1 Fe 2.07, 1 Os 2.22
Y 0.7500 0.2440 0.4880  2 Si 2.68
Si 0.7500 0.7628 0.5257  1 Fe 2.07, 1 Os 2.22
Si 0.5000 0.2393 0.0000  2 Fe 2.28, 2 Os 2.43
Si 0.0000 0.7607 0.0000  2 Fe 2.28, 2 Os 2.43
Si 0.0000 0.2393 0.0000  2 Fe 2.28, 2 Os 2.43
Fe 0.7500 0.9559 0.9118  5 Si 2.07-2.28
Y 0.2500 0.7560 0.5120  2 Si 2.68
Si 0.5000 0.7607 0.0000  2 Fe 2.28, 2 Os 2.43

Record 3
VASP calculation (GGA-PBE) on a relaxed Sm2FeOs crystal.

## Properties
magnetic moment = 2.0 μB/cell
space-group type = R-3m, No. 166
energy of formation = 0.766 eV/atom

Cell lengths 3.2656, 3.2656, 10.0362 Å; angles 80.64, 80.64, 60.00 degrees
Closest atoms and distances in Å follow each position.
Fractional positions:
Os 0.5000 0.5000 0.5000  6 Sm 2.89
Fe 0.0000 0.0000 0.0000  2 Sm 2.74
Sm 0.9073 0.9073 0.2781  1 Fe 2.74, 3 Os 2.89
Sm 0.0927 0.0927 0.7219  1 Fe 2.74, 3 Os 2.89

Record 4
VASP calculation (GGA-PBE) on a relaxed Sm2FeOs3 crystal.

## Properties
magnetic moment = 2.1 μB/cell
space-group type = C2/m, No. 12
energy of formation = -0.153 eV/atom

Cell lengths 5.3953, 5.3953, 5.3473 Å; angles 89.87, 120.23, 120.22 degrees
Closest atoms and distances in Å follow each position.
Fractional positions:
Os 0.0000 0.0000 0.5000  2 Fe 2.67, 4 Os 2.69-2.70
Os 0.5000 0.0000 0.5000  2 Fe 2.68, 4 Os 2.70
Sm 0.7527 0.3763 0.1289  9 Os 3.14-3.15, 3 Fe 3.16-3.17, 4 Sm 3.23-3.31
Fe 0.0000 0.0000 0.0000  6 Os 2.67-2.68
Sm 0.2473 0.6237 0.8711  9 Os 3.14-3.15, 3 Fe 3.16-3.17, 4 Sm 3.23-3.31
Os 0.5000 0.5000 0.5000  2 Fe 2.67, 4 Os 2.69-2.70

Record 5
VASP calculation (GGA-PBE) on a relaxed SmFe2Os crystal.

## Properties
magnetic moment = 5.4 μB/cell
space-group type = Cmmm, No. 65
energy of formation = 0.614 eV/atom

Cell lengths 4.2583, 5.3503, 4.2983 Å; angles 128.49, 90.01, 90.00 degrees
Closest atoms and distances in Å follow each position.
Fractional positions:
Sm 0.5000 0.5000 0.0000  2 Os 2.68
Fe 0.0006 0.8175 0.6350  2 Os 2.46, 1 Fe 2.46
Fe 0.9994 0.1825 0.3650  2 Os 2.46, 1 Fe 2.46
Os 0.5000 0.0000 0.0000  4 Fe 2.46, 2 Sm 2.68

Record 6
VASP calculation (GGA-PBE) on a relaxed FeSn2Os crystal.

## Properties
magnetic moment = 5.3 μB/cell
space-group type = I-42d, No. 122
energy of formation = 1.163 eV/atom
energy relative to the lowest polymorph listed for this composition = 0.7891 eV per atom

Cell lengths 6.1072, 6.1072, 7.1925 Å; angles 64.88, 64.88, 90.00 degrees
Closest atoms and distances in Å follow each position.
Fractional positions:
Sn 0.1176 0.6250 0.2500  2 Os 2.57, 2 Fe 2.62
Os 0.7500 0.2500 0.5000  4 Sn 2.57
Fe 0.5000 0.5000 0.0000  4 Sn 2.62
Sn 0.8750 0.8824 0.7500  2 Os 2.57, 2 Fe 2.62
Os 0.0000 0.0000 0.0000  4 Sn 2.57
Sn 0.6324 0.1250 0.2500  2 Os 2.57, 2 Fe 2.62
Fe 0.2500 0.7500 0.5000  4 Sn 2.62
Sn 0.3750 0.3676 0.7500  2 Os 2.57, 2 Fe 2.62

Record 7
VASP calculation (GGA-PBE) on a relaxed FeSn2Os crystal.

## Properties
magnetic moment = 0.0 μB/cell
space-group type = Fm-3m, No. 225
energy of formation = 0.374 eV/atom
energy relative to the lowest polymorph listed for this composition = 0.0000 eV per atom

Cell lengths 4.5166, 4.5166, 4.5166 Å; angles 60.00, 60.00, 60.00 degrees
Closest atoms and distances in Å follow each position.
Fractional positions:
Os 0.5000 0.5000 0.5000  8 Sn 2.77
Sn 0.2500 0.2500 0.2500  4 Os 2.77, 4 Fe 2.77
Fe 0.0000 0.0000 0.0000  8 Sn 2.77
Sn 0.7500 0.7500 0.7500  4 Fe 2.77, 4 Os 2.77

Record 8
VASP calculation (GGA-PBE) on a relaxed FeSn3Os crystal.

## Properties
magnetic moment = 2.9 μB/cell
space-group type = Pm-3m, No. 221
energy of formation = 0.848 eV/atom
energy relative to the lowest polymorph listed for this composition = 0.0000 eV per atom

Cell lengths 5.1618, 5.1618, 5.1618 Å; angles 90.00, 90.00, 90.00 degrees
Closest atoms and distances in Å follow each position.
Fractional positions:
Sn 0.5000 0.0000 0.0000  2 Os 2.58
Sn 0.0000 0.5000 0.0000  2 Os 2.58
Sn 0.0000 0.0000 0.5000  2 Os 2.58
Os 0.0000 0.0000 0.0000  6 Sn 2.58
Fe 0.5000 0.5000 0.5000  12 Sn 3.65